Record 1
MgFe7Ni6O16, relaxed, DFT PBE+U; SG = Cm (8); volume = 308 Å³/cell; total moment = 32.002 Bohr magnetons per cell
1.0
3.009 5.212 -0.074
-3.009 5.212 -0.074
0.000 3.310 9.767
Mg Fe Ni O
1 7 6 16
Direct
0.454 0.454 0.712
0.704 0.704 0.940
0.952 0.952 0.176
0.958 0.460 0.689
0.460 0.958 0.689
0.200 0.200 0.941
0.948 0.450 0.195
0.450 0.948 0.195
0.955 0.955 0.708
0.701 0.701 0.447
0.699 0.201 0.447
0.201 0.699 0.447
0.199 0.199 0.448
0.450 0.450 0.182
0.609 0.609 0.790
0.827 0.827 0.569
0.830 0.333 0.571
0.333 0.830 0.571
0.577 0.070 0.802
0.070 0.577 0.802
0.328 0.328 0.571
0.108 0.108 0.789
0.804 0.804 0.089
0.572 0.572 0.325
0.821 0.343 0.078
0.343 0.821 0.078
0.566 0.074 0.324
0.074 0.566 0.324
0.070 0.070 0.324
0.302 0.302 0.092

---

Record 2
MgFe7Ni6O16, relaxed, DFT PBE+U; SG = P1 (1); volume = 310 Å³/cell; total moment = 13.888 Bohr magnetons per cell; DOS(E_F) = 0.00 states/eV/cell
1.0
-2.276 -4.442 3.388
3.228 -1.331 -4.896
8.596 3.191 4.884
Mg Fe Ni O
1 7 6 16
Direct
0.400 0.453 0.341
0.402 0.713 0.080
0.864 0.942 0.837
0.902 0.957 0.327
0.305 0.174 0.082
0.820 0.416 0.156
0.374 0.949 0.833
0.871 0.447 0.840
0.400 0.961 0.338
0.882 0.692 0.575
0.366 0.692 0.571
0.882 0.207 0.573
0.383 0.199 0.584
0.370 0.444 0.829
0.635 0.575 0.207
0.647 0.830 0.457
0.140 0.843 0.462
0.629 0.321 0.471
0.193 0.603 0.213
0.657 0.080 0.215
0.145 0.315 0.465
0.161 0.086 0.231
0.128 0.837 0.949
0.133 0.581 0.704
0.592 0.810 0.936
0.110 0.311 0.942
0.637 0.583 0.712
0.125 0.065 0.712
0.622 0.059 0.710
0.599 0.302 0.960

---

Record 3
MgFe7Ni6O16, relaxed, DFT PBE+U; SG = Cm (8); volume = 314 Å³/cell; total moment = 44.000 Bohr magnetons per cell
1.0
2.996 5.206 -0.017
-2.996 5.206 -0.017
0.000 3.440 10.064
Mg Fe Ni O
1 7 6 16
Direct
0.075 0.075 0.782
0.315 0.315 0.052
0.982 0.982 0.032
0.566 0.064 0.317
0.064 0.566 0.317
0.625 0.625 0.134
0.573 0.038 0.816
0.038 0.573 0.816
0.065 0.065 0.315
0.321 0.321 0.558
0.801 0.321 0.555
0.321 0.801 0.555
0.813 0.813 0.561
0.560 0.560 0.811
0.428 0.428 0.200
0.193 0.193 0.435
0.689 0.171 0.442
0.171 0.689 0.442
0.957 0.436 0.195
0.436 0.957 0.195
0.695 0.695 0.438
0.928 0.928 0.221
0.191 0.191 0.914
0.441 0.441 0.680
0.693 0.187 0.915
0.187 0.693 0.915
0.938 0.445 0.682
0.445 0.938 0.682
0.943 0.943 0.677
0.681 0.681 0.939

---

Record 4
Mg2FeNiO4, relaxed, DFT PBE+U; SG = I-4m2 (119); volume = 79 Å³/cell; total moment = 5.988 Bohr magnetons per cell; DOS(E_F) = 0.00 states/eV/cell
1.0
4.312 0.002 0.000
-0.002 4.312 0.000
-2.155 -2.157 4.229
Mg Fe Ni O
2 1 1 4
Direct
0.250 0.750 0.500
0.000 0.000 0.000
0.750 0.250 0.500
0.500 0.500 0.000
0.003 0.503 0.006
0.497 0.997 0.994
0.751 0.751 0.501
0.249 0.249 0.499

---

Asked for uncorrected energy across the records above, the calculation gives -5.698; -5.769; -5.840; -5.858 eV per atom in order.